Material: PdWN2O
Method: DFT, PBE with a Hubbard U
State: optimized geometry

## Properties
crystal system	tetragonal
uncorrected energy	-6.55	eV/atom
volume	62.36	Å³/cell

Cell: 4.028 4.028 3.843 Å, 90.00 90.00 90.00°
Sites, in units of the cell vectors:
O1 0.000 0.000 0.500
Pd1 0.500 0.500 0.500
W1 0.000 0.000 0.000
N1 0.000 0.500 0.000
N2 0.500 0.000 0.000